This record from Alexandria describes a geometry-optimized DyFePH structure. The functional is GGA-PBE.

```
DyFePH
1.0
3.767 0.000 0.000
0.000 3.767 0.000
0.000 0.000 7.382
Dy Fe P H
2 2 2 2
direct
0.500 0.000 0.673 Dy
0.000 0.500 0.327 Dy
0.500 0.500 0.000 Fe
0.000 0.000 0.000 Fe
0.000 0.500 0.843 P
0.500 0.000 0.157 P
0.000 0.000 0.500 H
0.500 0.500 0.500 H
```

## Properties
The raw total energy comes out at -6.41 eV/atom.